VASP calculation (PBE-GGA) on a relaxed structure of Zr2RuBr.

The value obtained for the density of states at the Fermi level is 1.02 states/eV per atom.

The structure belongs to space group Fm-3m (No. 225); the cell edges are 6.755, 6.755 and 6.755 Å and the angles 90.00°, 90.00° and 90.00°. The distinct sites, in fractional coordinates, are Zr at (0.250, 0.250, 0.250), Ru at (0.000, 0.000, 0.000) and Br at (0.000, 0.000, 0.500).



VASP calculation (PBE-GGA) on a relaxed structure of Zr2RuBr.

The value obtained for the density of states at the Fermi level is 0.43 states/eV per atom.

The structure belongs to space group Imm2 (No. 44); the cell edges are 3.310, 3.476 and 15.275 Å and the angles 90.00°, 90.00° and 90.00°. The distinct sites, in fractional coordinates, are Zr at (0.000, 0.000, 0.000), Zr at (0.000, 0.500, 0.291), Ru at (0.000, 0.000, 0.420) and Br at (0.000, 0.500, 0.672).



VASP calculation (PBE-GGA) on a relaxed structure of ZrRuBr.

The value obtained for the density of states at the Fermi level is 1.18 states/eV per atom.

The structure belongs to space group F-43m (No. 216); the cell edges are 6.308, 6.308 and 6.308 Å and the angles 90.00°, 90.00° and 90.00°. The distinct sites, in fractional coordinates, are Zr at (0.000, 0.000, 0.000), Ru at (0.250, 0.250, 0.250) and Br at (0.000, 0.000, 0.500).



VASP calculation (PBE-GGA) on a relaxed structure of Zr2RuBr.

The value obtained for the density of states at the Fermi level is 1.25 states/eV per atom.

The structure belongs to space group R-3m (No. 166, hexagonal axes); the cell edges are 3.8918, 3.8918 and 21.5619 Å and the angles 90.00°, 90.00° and 120.00°. The distinct sites, in fractional coordinates, are Zr at (0.0000, 0.0000, 0.2273), Ru at (0.0000, 0.0000, 0.5000) and Br at (0.0000, 0.0000, 0.0000).



VASP calculation (PBE-GGA) on a relaxed structure of ZrRuBr2.

The value obtained for the density of states at the Fermi level is 0.76 states/eV per atom.

The structure belongs to space group P4/mmm (No. 123); the cell edges are 4.446, 4.446 and 3.750 Å and the angles 90.00°, 90.00° and 90.00°. The distinct sites, in fractional coordinates, are Zr at (0.000, 0.000, 0.000), Ru at (0.500, 0.500, 0.000) and Br at (0.000, 0.500, 0.500).



VASP calculation (PBE-GGA) on a relaxed structure of ZrRuBr3.

The value obtained for the density of states at the Fermi level is 0.73 states/eV per atom.

The structure belongs to space group Pm-3m (No. 221); the cell edges are 5.335, 5.335 and 5.335 Å and the angles 90.00°, 90.00° and 90.00°. The distinct sites, in fractional coordinates, are Zr at (0.000, 0.000, 0.000), Ru at (0.500, 0.500, 0.500) and Br at (0.000, 0.000, 0.500).



VASP calculation (PBE-GGA) on a relaxed structure of ZrRuBr2.

The value obtained for the density of states at the Fermi level is 0.64 states/eV per atom.

The structure belongs to space group C2/m (No. 12); the cell edges are 6.063, 8.928 and 4.293 Å and the angles 90.00°, 133.60° and 90.00°. The distinct sites, in fractional coordinates, are Zr at (0.000, 0.000, 0.000), Ru at (0.000, 0.500, 0.000) and Br at (0.250, 0.250, 0.500).



VASP calculation (PBE-GGA) on a relaxed structure of ZrRuBr2.

The value obtained for the density of states at the Fermi level is 0.64 states/eV per atom.

The structure belongs to space group R3m (No. 160, hexagonal axes); the cell edges are 3.4866, 3.4866 and 28.0997 Å and the angles 90.00°, 90.00° and 120.00°. The distinct sites, in fractional coordinates, are Zr at (0.0000, 0.0000, 0.0000), Ru at (0.0000, 0.0000, 0.2705), Br at (0.0000, 0.0000, 0.5343) and Br at (0.0000, 0.0000, 0.7378).



no.,E (eV per cell)
1,-112.66
2,-59.06
3,-76.29
4,-89.29
5,-20.03
6,-21.16
7,-41.26
8,-67.73